Pr4Dy3Y8 | PBE | relaxed

Raw total energy = -79.25 eV per formula unit
Formation energy = 0.36 eV per atom
M_tot = 0.589 μB/f.u.
Excess energy over the best structure of this formula in the dataset = 240 meV/atom
Space group = C2/m

Cell lengths 9.3631, 9.3631, 6.8117 Å; angles 111.23, 111.23, 87.24 degrees
Closest atoms and distances in Å follow each position.
Sites, in units of the cell vectors:
1 Pr 0.0000 0.0000 0.0000  6 Y 3.30-3.56, 2 Pr 3.41
2 Pr 0.0000 0.0000 0.5000  2 Pr 3.41, 4 Y 3.58-3.66
3 Pr 0.0000 0.5000 0.0000  4 Y 3.24-3.39, 2 Dy 3.41
4 Pr 0.5000 0.0000 0.0000  4 Y 3.24-3.39, 2 Dy 3.41
5 Dy 0.0000 0.5000 0.5000  4 Y 3.24-3.40, 2 Pr 3.41
6 Dy 0.5000 0.0000 0.5000  4 Y 3.24-3.40, 2 Pr 3.41
7 Dy 0.5000 0.5000 0.0000  6 Y 3.16-3.24
8 Y 0.2551 0.7449 0.0000  3 Dy 3.16-3.40, 3 Pr 3.30-3.39
9 Y 0.2671 0.2671 0.5137  3 Dy 3.24, 2 Y 3.27-3.54, 2 Pr 3.56-3.58
10 Y 0.2707 0.2707 0.0370  3 Pr 3.24-3.55, 1 Dy 3.24, 4 Y 3.27-3.61
11 Y 0.3602 0.6398 0.5000  7 Y 3.61-3.68, 4 Dy 3.68-3.86, 2 Pr 3.68
12 Y 0.6398 0.3602 0.5000  7 Y 3.61-3.68, 4 Dy 3.68-3.86, 2 Pr 3.68
13 Y 0.7293 0.7293 0.9630  3 Pr 3.24-3.55, 1 Dy 3.24, 4 Y 3.27-3.61
14 Y 0.7329 0.7329 0.4863  3 Dy 3.24, 2 Y 3.27-3.54, 2 Pr 3.56-3.58
15 Y 0.7449 0.2551 0.0000  3 Dy 3.16-3.40, 3 Pr 3.30-3.39